DFT (PBE+U) results for Na2NbV2O6 after structural relaxation.

a b c (Å): 5.284 5.284 5.887
angles (deg): 99.45 99.45 117.79
Sites, in units of the cell vectors:
Na (0.178, 0.822, 0.000)
Na (0.822, 0.178, 0.000)
Nb (0.000, 0.000, 0.500)
V (0.342, 0.658, 0.500)
V (0.658, 0.342, 0.500)
O (0.056, 0.387, 0.693)
O (0.243, 0.243, 0.297)
O (0.387, 0.056, 0.693)
O (0.613, 0.944, 0.307)
O (0.757, 0.757, 0.703)
O (0.944, 0.613, 0.307)

**E_tot**: -80.5 eV/cell
**Space group**: C2/m (12)